DFT (GGA-PBE) results for a relaxed structure of Na4In2AgIr.

Summary:
E_tot: -22.241 eV/cell
size of the total moment: 0.0010 μB per atom
mass density: 6.26 g/cm³

Cell: 4.8720 4.8720 6.9514 Å, 90.00 90.00 90.00°
Element x y z (fractional)
Na 0.0000 0.0000 0.0000
Na 0.0000 0.5000 0.2495
Na 0.5000 0.0000 0.7505
Na 0.5000 0.5000 0.5000
In 0.0000 0.5000 0.7781
In 0.5000 0.0000 0.2219
Ag 0.0000 0.0000 0.5000
Ir 0.5000 0.5000 0.0000